Below is a geometry-optimized SmTm6Mg structure, with properties calculated at the PBE level.

## Properties
The value obtained for the offset from the most stable computed form is 0.0 kJ/mol of formula units. The calculation puts the formation enthalpy at 0 K at 0.041 eV/atom. The density of states at the Fermi level comes out at 11.696 states/eV/cell. The total moment is 0.0 μB per cell.

Cell: 6.902 6.902 4.989 Å, 90.00 90.00 90.00°
Fractional coordinates of all 8 atoms:
Sm1 0.000 0.000 0.000
Tm1 0.000 0.500 0.000
Tm2 0.248 0.248 0.500
Tm3 0.248 0.752 0.500
Tm4 0.500 0.000 0.000
Tm5 0.752 0.248 0.500
Tm6 0.752 0.752 0.500
Mg1 0.500 0.500 0.000



Below is a geometry-optimized SmTmMg3 structure, with properties calculated at the PBE level.

## Properties
The value obtained for the offset from the most stable computed form is 0.0 kJ/mol of formula units. The calculation puts the formation enthalpy at 0 K at 0.022 eV/atom. The density of states at the Fermi level comes out at 11.502 states/eV/cell. The total moment is 0.0 μB per cell.

Cell: 8.915 8.915 8.915 Å, 40.99 40.99 40.99°
Fractional coordinates of all 10 atoms:
Sm1 0.068 0.068 0.068
Sm2 0.932 0.932 0.932
Tm1 0.335 0.335 0.335
Tm2 0.665 0.665 0.665
Mg1 0.110 0.622 0.622
Mg2 0.378 0.378 0.890
Mg3 0.378 0.890 0.378
Mg4 0.622 0.110 0.622
Mg5 0.622 0.622 0.110
Mg6 0.890 0.378 0.378



Below is a geometry-optimized Sm2Tm7Mg structure, with properties calculated at the PBE level.

## Properties
The calculation puts the formation enthalpy at 0 K at 0.689 eV/atom. The density of states at the Fermi level comes out at 10.111 states/eV/cell. The total moment is 0.0 μB per cell.

Cell: 9.386 9.386 5.150 Å, 90.00 90.00 125.60°
Fractional coordinates of all 10 atoms:
Sm1 0.204 0.796 0.000
Sm2 0.796 0.204 0.000
Tm1 0.000 0.000 0.000
Tm2 0.218 0.426 0.000
Tm3 0.304 0.696 0.500
Tm4 0.426 0.218 0.000
Tm5 0.574 0.782 0.000
Tm6 0.696 0.304 0.500
Tm7 0.782 0.574 0.000
Mg1 0.500 0.500 0.500



Below is a geometry-optimized SmTm2Mg4 structure, with properties calculated at the PBE level.

## Properties
The value obtained for the offset from the most stable computed form is 0.0 kJ/mol of formula units. The calculation puts the formation enthalpy at 0 K at 0.153 eV/atom. The density of states at the Fermi level comes out at 6.681 states/eV/cell. The total moment is 0.0 μB per cell.

Cell: 8.167 8.167 8.167 Å, 141.67 141.67 55.32°
Fractional coordinates of all 7 atoms:
Sm1 0.000 0.000 0.000
Tm1 0.249 0.249 0.000
Tm2 0.751 0.751 0.000
Mg1 0.120 0.620 0.500
Mg2 0.380 0.880 0.500
Mg3 0.620 0.120 0.500
Mg4 0.880 0.380 0.500



Below is a geometry-optimized Sm8Tm4Mg structure, with properties calculated at the PBE level.

## Properties
The calculation puts the formation enthalpy at 0 K at 0.180 eV/atom. The density of states at the Fermi level comes out at 16.114 states/eV/cell. The total moment is 0.0 μB per cell.

Cell: 10.732 10.732 10.732 Å, 38.64 38.64 38.64°
Fractional coordinates of all 13 atoms:
Sm1 0.220 0.220 0.220
Sm2 0.231 0.745 0.745
Sm3 0.255 0.255 0.769
Sm4 0.255 0.769 0.255
Sm5 0.745 0.231 0.745
Sm6 0.745 0.745 0.231
Sm7 0.769 0.255 0.255
Sm8 0.780 0.780 0.780
Tm1 0.000 0.000 0.000
Tm2 0.000 0.500 0.500
Tm3 0.500 0.000 0.500
Tm4 0.500 0.500 0.000
Mg1 0.500 0.500 0.500



Below is a geometry-optimized Sm3Tm2Mg2 structure, with properties calculated at the PBE level.

## Properties
The calculation puts the formation enthalpy at 0 K at 0.036 eV/atom. The density of states at the Fermi level comes out at 8.070 states/eV/cell. The total moment is 0.3 μB per cell.

Cell: 11.877 11.877 3.471 Å, 90.00 90.00 154.30°
Fractional coordinates of all 7 atoms:
Sm1 0.000 0.000 0.000
Sm2 0.151 0.849 0.000
Sm3 0.849 0.151 0.000
Tm1 0.288 0.712 0.500
Tm2 0.712 0.288 0.500
Mg1 0.430 0.570 0.500
Mg2 0.570 0.430 0.500